No. 1
Density functional theory data (PBE) for Tl2AgPBr6 after structural relaxation.

The raw total energy comes out at -0.103 Ha/atom. The uncorrected formation energy is -490 meV/atom. The symmetry is P2_1/c (14).

abc: 7.4425 7.6791 10.7059
angles: 90.00 90.18 90.00
Fractional coordinates of all 20 atoms:
Br 0.5671 0.9956 0.7387
Br 0.9329 0.4956 0.7613
Br 0.3052 0.2794 0.5314
Br 0.2815 0.3043 0.9658
Br 0.7185 0.6957 0.0342
Br 0.0671 0.5044 0.2387
Br 0.4329 0.0044 0.2613
Br 0.6948 0.7206 0.4686
Br 0.2185 0.8043 0.5342
Br 0.8052 0.2206 0.0314
Br 0.1948 0.7794 0.9686
Br 0.7815 0.1957 0.4658
Tl 0.0186 0.0663 0.7509
Tl 0.4814 0.5663 0.7491
Tl 0.5186 0.4337 0.2509
Tl 0.9814 0.9337 0.2491
P 0.5000 0.0000 0.5000
P 0.0000 0.5000 0.0000
Ag 0.5000 0.0000 0.0000
Ag 0.0000 0.5000 0.5000


No. 2
Density functional theory data (PBE) for LuMgCuNi after structural relaxation.

The raw total energy comes out at -0.157 Ha/atom. As for the formation energy: -1.1 eV/f.u. The value obtained for the density of states at the Fermi level is 2.278 states/eV/f.u. The symmetry is F-43m (216).

abc: 4.5711 4.5711 4.5711
angles: 60.00 60.00 60.00
Fractional coordinates of all 4 atoms:
Lu 0.0000 0.0000 0.0000
Cu 0.2500 0.2500 0.2500
Mg 0.5000 0.5000 0.5000
Ni 0.7500 0.7500 0.7500